[1]
Below is a relaxed CsPaSiN4 crystal, with properties calculated at the PBE-GGA level.

Output
- raw formation energy (eV per atom) = -0.55
- DFT total energy (eV for the cell shown) = -105.8
- size of the total moment (μB per formula unit) = 0.1

a b c (Å): 5.7006 5.4845 8.6072
angles (deg): 90.00 109.03 90.00
With the nearest neighbours (Å) after each atom.
Positions (direct):
Cs  0.7043  0.7500  0.9323  4 N 3.07-3.42
Cs  0.2957  0.2500  0.0677  4 N 3.07-3.42
Pa  0.7665  0.7500  0.4520  6 N 2.20-2.40
Pa  0.2335  0.2500  0.5480  6 N 2.20-2.40
Si  0.2363  0.7500  0.3490  4 N 1.73-1.76
Si  0.7637  0.2500  0.6510  4 N 1.73-1.76
N  0.9688  0.4896  0.6561  1 Si 1.75
N  0.0312  0.9896  0.3439  1 Si 1.75
N  0.0312  0.5104  0.3439  1 Si 1.75
N  0.9688  0.0104  0.6561  1 Si 1.75
N  0.4339  0.7500  0.2328  1 Si 1.73
N  0.5661  0.2500  0.7672  1 Si 1.73
N  0.4446  0.7500  0.5518  1 Si 1.76
N  0.5554  0.2500  0.4482  1 Si 1.76


[2]
Below is a relaxed LiEr2P crystal, with properties calculated at the PBE-GGA level.

Output
- DFT formation energy (eV/atom) = -0.52
- DFT total energy (eV for the cell shown) = -18.5
- size of the total moment (μB per formula unit) = 0.0

a b c (Å): 3.7206 3.7206 10.0114
angles (deg): 79.29 79.29 60.00
With the nearest neighbours (Å) after each atom.
Positions (direct):
P  0.5000  0.5000  0.5000  6 Er 2.69
Li  0.0000  0.0000  0.0000  2 Er 3.28
Er  0.1116  0.1116  0.6651  3 P 2.69
Er  0.8884  0.8884  0.3349  3 P 2.69